Below is a geometry-optimized K3La2SmSe6 structure, with properties calculated at the GGA-PBE level.

## Properties
For the density, the calculation gives 4.39 g/cm³. As for the total energy: -5.04 eV/atom. The uncorrected formation energy is -1.81 eV/atom. Its crystal system is monoclinic.

Cell lengths 7.6143, 7.6143, 8.0947 Å; angles 99.02, 99.02, 120.00 degrees
Closest atoms and distances in Å follow each position.
Fractional positions:
Se 0.2567 0.2567 0.7895  1 Sm 2.97, 2 La 3.03
K 0.1672 0.8328 0.5000  6 Se 3.36-3.41
La 0.3334 0.6666 0.0000  6 Se 3.03
Sm 0.0000 0.0000 0.0000  6 Se 2.97
K 0.5000 0.5000 0.5000  6 Se 3.36-3.41
Se 0.3972 0.0702 0.2107  1 Sm 2.97, 2 La 3.03
Se 0.7433 0.7433 0.2105  1 Sm 2.97, 2 La 3.03
Se 0.0702 0.3972 0.2107  1 Sm 2.97, 2 La 3.03
La 0.6666 0.3334 0.0000  6 Se 3.03
Se 0.9298 0.6028 0.7893  1 Sm 2.97, 2 La 3.03
Se 0.6028 0.9298 0.7893  1 Sm 2.97, 2 La 3.03
K 0.8328 0.1672 0.5000  6 Se 3.36-3.41